A relaxed structure of KAl. Source: the Alexandria database, functional GGA-PBE.

CIF file:
```
data_KAl
_chemical_formula_sum 'K4 Al4'
_cell_length_a 5.738
_cell_length_b 11.823
_cell_length_c 4.691
_cell_angle_alpha 90.00
_cell_angle_beta 90.00
_cell_angle_gamma 90.00
_symmetry_space_group_name_H-M 'C m c m'
_symmetry_Int_Tables_number 63
_symmetry_space_group_name_Hall '-C 2c 2'
loop_
_atom_site_label
_atom_site_type_symbol
_atom_site_fract_x
_atom_site_fract_y
_atom_site_fract_z
K1 K 0.000 0.150 0.250
Al1 Al 0.000 0.461 0.250
```

Properties
Formation energy: 0.4 eV/f.u.
Electronic total energy: -2.21 eV per atom
Energy above the lowest structure with this stoichiometry: 94 meV per atom
Magnetization: 0.00 μB/atom

---

A relaxed structure of CsIn2Bi. Source: the Alexandria database, functional GGA-PBE.

CIF file:
```
data_CsIn2Bi
_chemical_formula_sum 'Cs3 In6 Bi3'
_cell_length_a 5.0047
_cell_length_b 5.0047
_cell_length_c 24.1852
_cell_angle_alpha 90.00
_cell_angle_beta 90.00
_cell_angle_gamma 120.00
_symmetry_space_group_name_H-M 'R 3 m'
_symmetry_Int_Tables_number 160
_symmetry_space_group_name_Hall 'R 3 -2"'
loop_
_atom_site_label
_atom_site_type_symbol
_atom_site_fract_x
_atom_site_fract_y
_atom_site_fract_z
Cs1 Cs 0.0000 0.0000 0.0000
In1 In 0.0000 0.0000 0.5632
In2 In 0.0000 0.0000 0.7825
Bi1 Bi 0.0000 0.0000 0.1757
```

Properties
Formation energy: -0.4 eV/f.u.
Electronic total energy: -2.65 eV per atom
Magnetization: 0.00 μB/atom

---

A relaxed structure of ZrAl2Mo. Source: the Alexandria database, functional GGA-PBE.

CIF file:
```
data_ZrAl2Mo
_chemical_formula_sum 'Zr2 Al4 Mo2'
_cell_length_a 10.084
_cell_length_b 2.808
_cell_length_c 4.975
_cell_angle_alpha 90.00
_cell_angle_beta 102.31
_cell_angle_gamma 90.00
_symmetry_space_group_name_H-M 'C 1 m 1'
_symmetry_Int_Tables_number 8
loop_
_symmetry_equiv_pos_as_xyz
'x,y,z'
'x,-y,z'
'x+1/2,y+1/2,z'
'x+1/2,-y+1/2,z'
loop_
_atom_site_label
_atom_site_type_symbol
_atom_site_fract_x
_atom_site_fract_y
_atom_site_fract_z
Zr1 Zr 0.000 0.000 0.000
Al1 Al 0.253 0.500 0.200
Al2 Al 0.472 0.000 0.496
Mo1 Mo 0.214 0.000 0.671
```

Properties
Formation energy: -0.6 eV/f.u.
Electronic total energy: -6.87 eV per atom
Energy above the lowest structure with this stoichiometry: 114 meV per atom
Magnetization: 0.00 μB/atom

---

Repeat the second record exactly.
A relaxed structure of CsIn2Bi. Source: the Alexandria database, functional GGA-PBE.

CIF file:
```
data_CsIn2Bi
_chemical_formula_sum 'Cs3 In6 Bi3'
_cell_length_a 5.0047
_cell_length_b 5.0047
_cell_length_c 24.1852
_cell_angle_alpha 90.00
_cell_angle_beta 90.00
_cell_angle_gamma 120.00
_symmetry_space_group_name_H-M 'R 3 m'
_symmetry_Int_Tables_number 160
_symmetry_space_group_name_Hall 'R 3 -2"'
loop_
_atom_site_label
_atom_site_type_symbol
_atom_site_fract_x
_atom_site_fract_y
_atom_site_fract_z
Cs1 Cs 0.0000 0.0000 0.0000
In1 In 0.0000 0.0000 0.5632
In2 In 0.0000 0.0000 0.7825
Bi1 Bi 0.0000 0.0000 0.1757
```

Properties
Formation energy: -0.4 eV/f.u.
Electronic total energy: -2.65 eV per atom
Magnetization: 0.00 μB/atom

---

Which value of magnetization does entry 1 give? 0.00 μB/atom

---

What is the magnetization in the second record? 0.00 μB/atom

---

The highest electronic total energy belongs to which entry? KAl